{
  "formula": "PrPuAgIr",
  "functional": "PBE",
  "state": "relaxed",
  "final_energy_ev_per_atom": -7.964,
  "vol_a3_per_cell": 93.1,
  "delta_e_f_ev_per_atom": -0.2585,
  "space_group": "F-43m, No. 216",
  "lattice": [[5.0879, 0.0000, 0.0000], [2.5440, 4.4063, 0.0000], [2.5440, 1.4688, 4.1543]],
  "species": ["Ir", "Pr", "Pu", "Ag"],
  "fractional_positions": [[0.7500, 0.7500, 0.7500], [0.5000, 0.5000, 0.5000], [0.0000, 0.0000, 0.0000], [0.2500, 0.2500, 0.2500]]
}